1.
# GGA-PBEsol TaCrP3, relaxed
# * energy above the lowest structure with this stoichiometry: 72 meV per atom
# * energy of formation from the pure elements: 764 meV per atom
# * density of states at the Fermi level: 5.96 states/eV/cell
# * M_tot: 0.59 μB per atom
data_TaCrP3
_symmetry_space_group_name_H-M 'P 1'
_symmetry_Int_Tables_number 1
_cell_length_a 4.3464
_cell_length_b 4.3464
_cell_length_c 4.3464
_cell_angle_alpha 90.00
_cell_angle_beta 90.00
_cell_angle_gamma 90.00
loop_
_symmetry_equiv_pos_as_xyz
'x,y,z'
loop_
_atom_site_label
_atom_site_fract_x
_atom_site_fract_y
_atom_site_fract_z
Cr1 0.0000 0.0000 0.0000
P1 0.0000 0.5000 0.0000
P2 0.0000 0.0000 0.5000
P3 0.5000 0.0000 0.0000
Ta1 0.5000 0.5000 0.5000

2.
# GGA-PBEsol YSb, relaxed
# * uncorrected formation energy: -1.20 eV/atom
# * density of states at the Fermi level: 0.30 states/eV/cell
# * M_tot: 0.00 μB per atom
data_YSb
_symmetry_space_group_name_H-M 'P 1'
_symmetry_Int_Tables_number 1
_cell_length_a 4.3229
_cell_length_b 4.3229
_cell_length_c 4.3229
_cell_angle_alpha 60.00
_cell_angle_beta 60.00
_cell_angle_gamma 60.00
loop_
_symmetry_equiv_pos_as_xyz
'x,y,z'
loop_
_atom_site_label
_atom_site_fract_x
_atom_site_fract_y
_atom_site_fract_z
Y1 0.0000 0.0000 0.0000
Sb1 0.5000 0.5000 0.5000

3.
# GGA-PBEsol NaMg6C, relaxed
# * energy of formation from the pure elements: 356 meV per atom
# * density of states at the Fermi level: 3.42 states/eV/cell
# * M_tot: 0.01 μB per atom
data_NaMg6C
_symmetry_space_group_name_H-M 'P 1'
_symmetry_Int_Tables_number 1
_cell_length_a 3.2807
_cell_length_b 5.7944
_cell_length_c 10.5631
_cell_angle_alpha 105.92
_cell_angle_beta 90.00
_cell_angle_gamma 90.00
loop_
_symmetry_equiv_pos_as_xyz
'x,y,z'
loop_
_atom_site_label
_atom_site_fract_x
_atom_site_fract_y
_atom_site_fract_z
Na1 0.5000 0.2067 0.4134
Mg1 0.5000 0.7011 0.9133
Mg2 0.5000 0.2122 0.9133
Mg3 0.0000 0.8123 0.1550
Mg4 0.0000 0.3427 0.1550
Mg5 0.0000 0.3454 0.6909
Mg6 0.0000 0.8354 0.6709
C1 0.5000 0.5441 0.0882

4.
# GGA-PBEsol LiTl2In, relaxed
# * energy of formation from the pure elements: -83 meV per atom
# * density of states at the Fermi level: 1.64 states/eV/cell
# * M_tot: 0.00 μB per atom
data_LiTl2In
_symmetry_space_group_name_H-M 'P 1'
_symmetry_Int_Tables_number 1
_cell_length_a 3.4074
_cell_length_b 3.4074
_cell_length_c 9.8483
_cell_angle_alpha 80.04
_cell_angle_beta 80.04
_cell_angle_gamma 60.00
loop_
_symmetry_equiv_pos_as_xyz
'x,y,z'
loop_
_atom_site_label
_atom_site_fract_x
_atom_site_fract_y
_atom_site_fract_z
Tl1 0.9924 0.9924 0.0228
Tl2 0.7511 0.7511 0.7466
In1 0.5073 0.5073 0.4782
Li1 0.2492 0.2492 0.2524

5.
# GGA-PBEsol SrLa2Tl, relaxed
# * energy above the lowest structure with this stoichiometry: 7 meV per atom
# * energy of formation from the pure elements: -178 meV per atom
# * density of states at the Fermi level: 3.95 states/eV/cell
# * M_tot: 0.00 μB per atom
data_SrLa2Tl
_symmetry_space_group_name_H-M 'P 1'
_symmetry_Int_Tables_number 1
_cell_length_a 3.7991
_cell_length_b 3.7991
_cell_length_c 9.5896
_cell_angle_alpha 90.00
_cell_angle_beta 90.00
_cell_angle_gamma 90.00
loop_
_symmetry_equiv_pos_as_xyz
'x,y,z'
loop_
_atom_site_label
_atom_site_fract_x
_atom_site_fract_y
_atom_site_fract_z
Sr1 0.0000 0.0000 0.5369
Tl1 0.5000 0.5000 0.7628
La1 0.0000 0.0000 0.9749
La2 0.5000 0.5000 0.2254

6.
# GGA-PBEsol AgPb, relaxed
# * energy of formation from the pure elements: 99 meV per atom
# * density of states at the Fermi level: 1.50 states/eV/cell
# * M_tot: 0.00 μB per atom
data_AgPb
_symmetry_space_group_name_H-M 'P 1'
_symmetry_Int_Tables_number 1
_cell_length_a 3.3135
_cell_length_b 5.1876
_cell_length_c 5.7824
_cell_angle_alpha 107.90
_cell_angle_beta 106.65
_cell_angle_gamma 90.00
loop_
_symmetry_equiv_pos_as_xyz
'x,y,z'
loop_
_atom_site_label
_atom_site_fract_x
_atom_site_fract_y
_atom_site_fract_z
Pb1 0.6079 0.8217 0.2157
Pb2 0.3921 0.1783 0.7843
Ag1 0.1480 0.3464 0.2960
Ag2 0.8520 0.6536 0.7040

7.
# GGA-PBEsol Fe2SiBr, relaxed
# * uncorrected formation energy: 0.26 eV/atom
# * energy above the lowest structure with this stoichiometry: 116 meV per atom
# * density of states at the Fermi level: 2.33 states/eV/cell
# * M_tot: 0.90 μB per atom
data_Fe2SiBr
_symmetry_space_group_name_H-M 'P 1'
_symmetry_Int_Tables_number 1
_cell_length_a 3.1819
_cell_length_b 3.6911
_cell_length_c 5.7346
_cell_angle_alpha 90.00
_cell_angle_beta 90.00
_cell_angle_gamma 90.00
loop_
_symmetry_equiv_pos_as_xyz
'x,y,z'
loop_
_atom_site_label
_atom_site_fract_x
_atom_site_fract_y
_atom_site_fract_z
Br1 0.5000 0.5000 0.1714
Fe1 0.5000 0.0000 0.8858
Fe2 0.0000 0.5000 0.8439
Si1 0.0000 0.0000 0.5989

8.
# GGA-PBEsol BePtI3, relaxed
# * uncorrected formation energy: 0.64 eV/atom
# * density of states at the Fermi level: 3.65 states/eV/cell
# * M_tot: 0.00 μB per atom
data_BePtI3
_symmetry_space_group_name_H-M 'P 1'
_symmetry_Int_Tables_number 1
_cell_length_a 5.3787
_cell_length_b 5.3787
_cell_length_c 5.3787
_cell_angle_alpha 90.00
_cell_angle_beta 90.00
_cell_angle_gamma 90.00
loop_
_symmetry_equiv_pos_as_xyz
'x,y,z'
loop_
_atom_site_label
_atom_site_fract_x
_atom_site_fract_y
_atom_site_fract_z
I1 0.0000 0.5000 0.0000
I2 0.0000 0.0000 0.5000
I3 0.5000 0.0000 0.0000
Be1 0.5000 0.5000 0.5000
Pt1 0.0000 0.0000 0.0000

9.
# GGA-PBEsol Li2AcSn, relaxed
# * energy of formation from the pure elements: -431 meV per atom
# * density of states at the Fermi level: 1.41 states/eV/cell
# * M_tot: 0.00 μB per atom
data_Li2AcSn
_symmetry_space_group_name_H-M 'P 1'
_symmetry_Int_Tables_number 1
_cell_length_a 5.0508
_cell_length_b 5.0508
_cell_length_c 5.0508
_cell_angle_alpha 60.00
_cell_angle_beta 60.00
_cell_angle_gamma 60.00
loop_
_symmetry_equiv_pos_as_xyz
'x,y,z'
loop_
_atom_site_label
_atom_site_fract_x
_atom_site_fract_y
_atom_site_fract_z
Ac1 0.5000 0.5000 0.5000
Sn1 0.0000 0.0000 0.0000
Li1 0.2500 0.2500 0.2500
Li2 0.7500 0.7500 0.7500

10.
# GGA-PBEsol SeIBr2, relaxed
# * uncorrected formation energy: 0.36 eV/atom
# * energy above the lowest structure with this stoichiometry: 216 meV per atom
# * density of states at the Fermi level: 3.15 states/eV/cell
# * M_tot: 0.00 μB per atom
data_SeIBr2
_symmetry_space_group_name_H-M 'P 1'
_symmetry_Int_Tables_number 1
_cell_length_a 4.2277
_cell_length_b 4.2277
_cell_length_c 9.1134
_cell_angle_alpha 76.59
_cell_angle_beta 76.59
_cell_angle_gamma 60.00
loop_
_symmetry_equiv_pos_as_xyz
'x,y,z'
loop_
_atom_site_label
_atom_site_fract_x
_atom_site_fract_y
_atom_site_fract_z
I1 0.0000 0.0000 0.0000
Se1 0.5000 0.5000 0.5000
Br1 0.8934 0.8934 0.3199
Br2 0.1066 0.1066 0.6801

11.
# GGA-PBEsol MoRuAu2, relaxed
# * energy above the lowest structure with this stoichiometry: 0 meV per atom
# * energy of formation from the pure elements: 115 meV per atom
# * density of states at the Fermi level: 2.65 states/eV/cell
# * M_tot: 0.00 μB per atom
data_MoRuAu2
_symmetry_space_group_name_H-M 'P 1'
_symmetry_Int_Tables_number 1
_cell_length_a 2.7935
_cell_length_b 2.7935
_cell_length_c 8.0099
_cell_angle_alpha 90.00
_cell_angle_beta 90.00
_cell_angle_gamma 90.00
loop_
_symmetry_equiv_pos_as_xyz
'x,y,z'
loop_
_atom_site_label
_atom_site_fract_x
_atom_site_fract_y
_atom_site_fract_z
Au1 0.0000 0.0000 0.9880
Au2 0.5000 0.5000 0.2607
Mo1 0.0000 0.0000 0.5207
Ru1 0.5000 0.5000 0.7306

12.
# GGA-PBEsol K2HfMgCl, relaxed
# * uncorrected formation energy: 0.47 eV/atom
# * density of states at the Fermi level: 4.94 states/eV/cell
# * M_tot: 0.49 μB per atom
data_K2HfMgCl
_symmetry_space_group_name_H-M 'P 1'
_symmetry_Int_Tables_number 1
_cell_length_a 4.7705
_cell_length_b 7.0609
_cell_length_c 7.0609
_cell_angle_alpha 90.00
_cell_angle_beta 90.00
_cell_angle_gamma 90.00
loop_
_symmetry_equiv_pos_as_xyz
'x,y,z'
loop_
_atom_site_label
_atom_site_fract_x
_atom_site_fract_y
_atom_site_fract_z
K1 0.0000 0.0000 0.5000
K2 0.0000 0.5000 0.0000
Hf1 0.0000 0.0000 0.0000
Mg1 0.5000 0.5000 0.5000
Cl1 0.5000 0.0000 0.0000

13.
# GGA-PBEsol BaSrSe2, relaxed
# * uncorrected formation energy: -2.04 eV/atom
# * energy above the lowest structure with this stoichiometry: 0 meV per atom
# * density of states at the Fermi level: 0.00 states/eV/cell
# * M_tot: 0.00 μB per atom
data_BaSrSe2
_symmetry_space_group_name_H-M 'P 1'
_symmetry_Int_Tables_number 1
_cell_length_a 4.5168
_cell_length_b 4.5168
_cell_length_c 7.8330
_cell_angle_alpha 73.24
_cell_angle_beta 73.24
_cell_angle_gamma 60.00
loop_
_symmetry_equiv_pos_as_xyz
'x,y,z'
loop_
_atom_site_label
_atom_site_fract_x
_atom_site_fract_y
_atom_site_fract_z
Sr1 0.5000 0.5000 0.5000
Ba1 0.0000 0.0000 0.0000
Se1 0.2453 0.2453 0.2642
Se2 0.7547 0.7547 0.7358

14.
# GGA-PBEsol PrCdIn, relaxed
# * energy of formation from the pure elements: -481 meV per atom
# * density of states at the Fermi level: 1.69 states/eV/cell
# * M_tot: 0.00 μB per atom
data_PrCdIn
_symmetry_space_group_name_H-M 'P 1'
_symmetry_Int_Tables_number 1
_cell_length_a 4.8652
_cell_length_b 4.8652
_cell_length_c 7.6426
_cell_angle_alpha 90.00
_cell_angle_beta 90.00
_cell_angle_gamma 120.00
loop_
_symmetry_equiv_pos_as_xyz
'x,y,z'
loop_
_atom_site_label
_atom_site_fract_x
_atom_site_fract_y
_atom_site_fract_z
Pr1 0.0000 0.0000 0.7388
Pr2 0.0000 0.0000 0.2612
In1 0.3333 0.6667 0.0502
In2 0.6667 0.3333 0.9498
Cd1 0.6667 0.3333 0.5248
Cd2 0.3333 0.6667 0.4752

15.
# GGA-PBEsol TlMo2Ru, relaxed
# * energy of formation from the pure elements: 535 meV per atom
# * density of states at the Fermi level: 3.02 states/eV/cell
# * M_tot: 0.00 μB per atom
data_TlMo2Ru
_symmetry_space_group_name_H-M 'P 1'
_symmetry_Int_Tables_number 1
_cell_length_a 3.1435
_cell_length_b 4.6444
_cell_length_c 5.2792
_cell_angle_alpha 116.10
_cell_angle_beta 107.32
_cell_angle_gamma 90.00
loop_
_symmetry_equiv_pos_as_xyz
'x,y,z'
loop_
_atom_site_label
_atom_site_fract_x
_atom_site_fract_y
_atom_site_fract_z
Mo1 0.0226 0.0226 0.0453
Mo2 0.7436 0.2436 0.4871
Ru1 0.4846 0.4846 0.9691
Tl1 0.2492 0.7492 0.4984

16.
# GGA-PBEsol In2PtRh, relaxed
# * energy of formation from the pure elements: -403 meV per atom
# * density of states at the Fermi level: 1.20 states/eV/cell
# * M_tot: 0.00 μB per atom
data_In2PtRh
_symmetry_space_group_name_H-M 'P 1'
_symmetry_Int_Tables_number 1
_cell_length_a 4.2501
_cell_length_b 4.7619
_cell_length_c 4.2501
_cell_angle_alpha 63.50
_cell_angle_beta 90.00
_cell_angle_gamma 116.50
loop_
_symmetry_equiv_pos_as_xyz
'x,y,z'
loop_
_atom_site_label
_atom_site_fract_x
_atom_site_fract_y
_atom_site_fract_z
Rh1 0.0000 0.0000 0.0000
Pt1 0.5000 0.0000 0.5000
In1 0.2500 0.5000 0.2500
In2 0.7500 0.5000 0.7500

17.
# GGA-PBEsol BaP8, relaxed
# * energy of formation from the pure elements: -313 meV per atom
# * M_tot: 0.00 μB per atom
data_BaP8
_symmetry_space_group_name_H-M 'P 1'
_symmetry_Int_Tables_number 1
_cell_length_a 6.7185
_cell_length_b 7.1789
_cell_length_c 8.4888
_cell_angle_alpha 86.18
_cell_angle_beta 84.28
_cell_angle_gamma 70.32
loop_
_symmetry_equiv_pos_as_xyz
'x,y,z'
loop_
_atom_site_label
_atom_site_fract_x
_atom_site_fract_y
_atom_site_fract_z
Ba1 0.2606 0.3382 0.6815
Ba2 0.7394 0.6618 0.3185
P1 0.0198 0.0384 0.6198
P2 0.9802 0.9616 0.3802
P3 0.0873 0.1916 0.2412
P4 0.9127 0.8084 0.7588
P5 0.1393 0.0550 0.9994
P6 0.8607 0.9450 0.0006
P7 0.2336 0.6763 0.3940
P8 0.7664 0.3237 0.6060
P9 0.2353 0.5769 0.1523
P10 0.7647 0.4231 0.8477
P11 0.3972 0.1180 0.3334
P12 0.6028 0.8820 0.6666
P13 0.4037 0.7767 0.0394
P14 0.5963 0.2233 0.9606
P15 0.5279 0.3295 0.2061
P16 0.4721 0.6705 0.7939

18.
# GGA-PBEsol KYBi2Mo, relaxed
# * energy of formation from the pure elements: 1306 meV per atom
# * density of states at the Fermi level: 2.98 states/eV/cell
# * M_tot: 1.00 μB per atom
data_KYBi2Mo
_symmetry_space_group_name_H-M 'P 1'
_symmetry_Int_Tables_number 1
_cell_length_a 5.7699
_cell_length_b 5.7699
_cell_length_c 5.9158
_cell_angle_alpha 90.00
_cell_angle_beta 90.00
_cell_angle_gamma 90.00
loop_
_symmetry_equiv_pos_as_xyz
'x,y,z'
loop_
_atom_site_label
_atom_site_fract_x
_atom_site_fract_y
_atom_site_fract_z
Y1 0.0000 0.0000 0.0000
Mo1 0.5000 0.5000 0.5000
K1 0.0000 0.0000 0.5000
Bi1 0.0000 0.5000 0.0000
Bi2 0.5000 0.0000 0.0000

19.
# GGA-PBEsol TaCu2Hg, relaxed
# * energy of formation from the pure elements: 296 meV per atom
# * density of states at the Fermi level: 2.52 states/eV/cell
# * M_tot: 0.00 μB per atom
data_TaCu2Hg
_symmetry_space_group_name_H-M 'P 1'
_symmetry_Int_Tables_number 1
_cell_length_a 2.7886
_cell_length_b 4.6170
_cell_length_c 5.4112
_cell_angle_alpha 115.25
_cell_angle_beta 104.93
_cell_angle_gamma 90.00
loop_
_symmetry_equiv_pos_as_xyz
'x,y,z'
loop_
_atom_site_label
_atom_site_fract_x
_atom_site_fract_y
_atom_site_fract_z
Cu1 0.0183 0.0183 0.0365
Cu2 0.7348 0.2348 0.4697
Hg1 0.4841 0.4841 0.9681
Ta1 0.2628 0.7628 0.5256

20.
# GGA-PBEsol Ba2SrRh, relaxed
# * energy above the lowest structure with this stoichiometry: 0 meV per atom
# * energy of formation from the pure elements: -63 meV per atom
# * density of states at the Fermi level: 2.50 states/eV/cell
# * M_tot: 0.00 μB per atom
data_Ba2SrRh
_symmetry_space_group_name_H-M 'P 1'
_symmetry_Int_Tables_number 1
_cell_length_a 4.3161
_cell_length_b 6.2096
_cell_length_c 7.3932
_cell_angle_alpha 114.83
_cell_angle_beta 90.00
_cell_angle_gamma 90.00
loop_
_symmetry_equiv_pos_as_xyz
'x,y,z'
loop_
_atom_site_label
_atom_site_fract_x
_atom_site_fract_y
_atom_site_fract_z
Sr1 0.5000 0.3534 0.7068
Rh1 0.0000 0.5001 0.0003
Ba1 0.0000 0.9957 0.9912
Ba2 0.5000 0.6508 0.3017